The following is a PBE-GGA calculation of LiCuPO4 after structural relaxation, from the Alexandria database.

Electronic total energy   -0.4575 Ry per atom
Calculated volume   342 Å³/cell
Relative energy among the computed polymorphs   46 meV per atom

Cell lengths 5.781, 5.837, 10.658 Å; angles 90.00, 108.06, 90.00 degrees
Space group P2_1/c (No. 14)
Asymmetric unit:
Li: 0.190 0.167 0.423 [4 per cell]
Cu: 0.267 0.600 0.358 [4 per cell]
P: 0.322 0.692 0.602 [4 per cell]
O: 0.158 0.747 0.689 [4 per cell]
O: 0.257 0.642 0.980 [4 per cell]
O: 0.266 0.047 0.032 [4 per cell]
O: 0.404 0.199 0.816 [4 per cell]